Computed, not measured: MnTe2P after structural relaxation at the GGA-PBE level of DFT.

Summary:
The density of states at the Fermi level comes out at 20.1 states/eV per cell. Its space-group type is No. 122. The energy relative to the elements, uncorrected comes out at 0.5595 eV per atom. As for the density: 5.324 g/cm³. The value obtained for the volume is 426 Å³ per cell. The calculation puts the size of the total moment at 0.00 Bohr magnetons per cell. As for the total energy: -4.656 eV/atom.

Structure (POSCAR):
```
MnTe2P
1.0
6.0928 0.0000 0.0000
0.0000 6.0928 0.0000
0.0000 0.0000 11.4632
Mn Te P
4 8 4
direct
0.0000 0.0000 0.0000
0.0000 0.5000 0.2500
0.5000 0.0000 0.7500
0.5000 0.5000 0.5000
0.2081 0.2500 0.1250
0.2500 0.7081 0.3750
0.2500 0.7919 0.8750
0.2919 0.2500 0.6250
0.7081 0.7500 0.6250
0.7500 0.2081 0.8750
0.7500 0.2919 0.3750
0.7919 0.7500 0.1250
0.0000 0.0000 0.5000
0.0000 0.5000 0.7500
0.5000 0.0000 0.2500
0.5000 0.5000 0.0000
```